No. 1
## RbMgNp (PBE-GGA)

Data for a relaxed structure of RbMgNp.

Summary:
Space-group type   F-43m, No. 216
Density   4.33 g/cm³
Energy   -10.78 eV/f.u.
Polymorph energy (0 for the lowest one)   0 meV per atom
M_tot   5.6 μB/f.u.

abc: 5.728 5.728 5.728
angles: 60.00 60.00 60.00
Element x y z (fractional)
1 Rb 0.000 0.000 0.000
2 Mg 0.500 0.500 0.500
3 Np 0.750 0.750 0.750

=====

No. 2
## Dy2Y2CBr5 (PBE-GGA)

Data for a relaxed structure of Dy2Y2CBr5.

Summary:
Space-group type   C2/m, No. 12
Density   5.64 g/cm³
Energy   -54.07 eV/f.u.
M_tot   0.2 μB/f.u.

abc: 9.099 9.099 8.142
angles: 102.76 102.76 24.19
Element x y z (fractional)
1 Dy 0.139 0.139 0.072
2 Dy 0.861 0.861 0.928
3 Y 0.499 0.499 0.201
4 Y 0.501 0.501 0.799
5 C 0.000 0.000 0.000
6 Br 0.000 0.000 0.500
7 Br 0.330 0.330 0.171
8 Br 0.336 0.336 0.660
9 Br 0.664 0.664 0.340
10 Br 0.670 0.670 0.829

=====

No. 3
## PmCuSi (PBE-GGA)

Data for a relaxed structure of PmCuSi.

Summary:
Space-group type   F-43m, No. 216
Density   6.37 g/cm³
Energy   -15.23 eV/f.u.
Polymorph energy (0 for the lowest one)   187 meV per atom
M_tot   0.0 μB/f.u.

abc: 4.436 4.436 4.436
angles: 60.00 60.00 60.00
Element x y z (fractional)
1 Pm 0.000 0.000 0.000
2 Cu 0.250 0.250 0.250
3 Si 0.500 0.500 0.500

=====

No. 4
## Hf4Sb3W2C3 (PBE-GGA)

Data for a relaxed structure of Hf4Sb3W2C3.

Summary:
Space-group type   C2/c, No. 15
Density   12.39 g/cm³
Energy   -110.83 eV/f.u.
M_tot   0.0 μB/f.u.

abc: 5.901 5.901 13.577
angles: 102.32 102.32 60.19
Element x y z (fractional)
1 Hf 0.032 0.194 0.090
2 Hf 0.134 0.304 0.410
3 Hf 0.194 0.032 0.590
4 Hf 0.304 0.134 0.910
5 Hf 0.696 0.866 0.090
6 Hf 0.806 0.968 0.410
7 Hf 0.866 0.696 0.590
8 Hf 0.968 0.806 0.910
9 Sb 0.106 0.894 0.250
10 Sb 0.268 0.417 0.749
11 Sb 0.417 0.268 0.249
12 Sb 0.583 0.732 0.751
13 Sb 0.732 0.583 0.251
14 Sb 0.894 0.106 0.750
15 W 0.350 0.525 0.074
16 W 0.475 0.650 0.426
17 W 0.525 0.350 0.574
18 W 0.650 0.475 0.926
19 C 0.000 0.500 0.000
20 C 0.169 0.666 0.500
21 C 0.334 0.831 0.000
22 C 0.500 0.000 0.500
23 C 0.666 0.169 0.000
24 C 0.831 0.334 0.500

=====

No. 5
## CdIn2W (PBE-GGA)

Data for a relaxed structure of CdIn2W.

Summary:
Space-group type   F-43m, No. 216
Density   10.38 g/cm³
Energy   -15.64 eV/f.u.
M_tot   1.8 μB/f.u.

abc: 4.919 4.919 4.919
angles: 60.00 60.00 60.00
Element x y z (fractional)
1 Cd 0.000 0.000 0.000
2 In 0.250 0.250 0.250
3 In 0.500 0.500 0.500
4 W 0.750 0.750 0.750

=====

No. 6
## Tb2Si (PBE-GGA)

Data for a relaxed structure of Tb2Si.

Summary:
Space-group type   Fd-3m, No. 227
Density   2.39 g/cm³
Energy   -11.27 eV/f.u.
M_tot   0.0 μB/f.u.

abc: 8.791 8.791 8.791
angles: 60.00 60.00 60.00
Element x y z (fractional)
1 Tb 0.000 0.000 0.000
2 Tb 0.000 0.000 0.500
3 Tb 0.000 0.500 0.000
4 Tb 0.500 0.000 0.000
5 Si 0.125 0.125 0.125
6 Si 0.875 0.875 0.875

=====

No. 7
## CsPrSbTe3 (PBE-GGA)

Data for a relaxed structure of CsPrSbTe3.

Summary:
Space-group type   Cmcm, No. 63
Density   5.18 g/cm³
Energy   -23.83 eV/f.u.
M_tot   0.0 μB/f.u.

abc: 9.569 9.569 11.415
angles: 90.00 90.00 151.48
Element x y z (fractional)
1 Cs 0.238 0.762 0.750
2 Cs 0.762 0.238 0.250
3 Pr 0.000 0.000 0.000
4 Pr 0.000 0.000 0.500
5 Sb 0.469 0.531 0.250
6 Sb 0.531 0.469 0.750
7 Te 0.094 0.906 0.250
8 Te 0.381 0.619 0.038
9 Te 0.381 0.619 0.462
10 Te 0.619 0.381 0.538
11 Te 0.619 0.381 0.962
12 Te 0.906 0.094 0.750

=====

No. 8
## SrGa3Ir (PBE-GGA)

Data for a relaxed structure of SrGa3Ir.

Summary:
Space-group type   I4mm, No. 107
Density   7.78 g/cm³
Energy   -22.15 eV/f.u.
Polymorph energy (0 for the lowest one)   0 meV per atom
M_tot   0.0 μB/f.u.

abc: 6.192 6.192 6.192
angles: 138.19 138.19 60.62
Element x y z (fractional)
1 Sr 0.000 0.000 0.000
2 Ga 0.256 0.756 0.500
3 Ga 0.600 0.600 0.000
4 Ga 0.756 0.256 0.500
5 Ir 0.369 0.369 0.000